Record 1
The following is a DFT calculation (GGA-PBE) of FeGeB2 after structural relaxation.

Values from the calculation:
- Magnetization: 0.11 μB per formula unit
- Raw total energy: -5.302 eV per atom
- Space group: F-43m

Cell: 3.813 3.813 3.813 Å, 60.00 60.00 60.00°
Atoms (fractional coordinates):
B (0.000, 0.000, 0.000)
B (0.750, 0.750, 0.750)
Fe (0.250, 0.250, 0.250)
Ge (0.500, 0.500, 0.500)


Record 2
The following is a DFT calculation (GGA-PBE) of Fe2GeB after structural relaxation.

Values from the calculation:
- Magnetization: 0.28 μB per formula unit
- Raw total energy: -6.859 eV per atom
- Space group: Pm-3m

Cell: 5.408 5.408 5.408 Å, 90.00 90.00 90.00°
Site moments in Bohr magnetons follow the coordinates.
Atoms (fractional coordinates):
B (0.000, 0.000, 0.000)  -0.01
B (0.500, 0.000, 0.000)  -0.02
B (0.000, 0.500, 0.000)  -0.02
B (0.000, 0.000, 0.500)  -0.01
Fe (0.232, 0.232, 0.232)  0.15
Fe (0.768, 0.232, 0.232)  0.16
Fe (0.232, 0.768, 0.232)  0.16
Fe (0.768, 0.768, 0.232)  0.16
Fe (0.232, 0.232, 0.768)  0.16
Fe (0.768, 0.232, 0.768)  0.16
Fe (0.232, 0.768, 0.768)  0.16
Fe (0.768, 0.768, 0.768)  0.15
Ge (0.500, 0.500, 0.000)  -0.01
Ge (0.500, 0.000, 0.500)  -0.01
Ge (0.000, 0.500, 0.500)  -0.01
Ge (0.500, 0.500, 0.500)  -0.01


Record 3
The following is a DFT calculation (GGA-PBE) of Fe2GeB after structural relaxation.

Values from the calculation:
- Magnetization: 0.29 μB per formula unit
- Raw total energy: -6.859 eV per atom
- Space group: Pm-3m

Cell: 5.409 5.409 5.409 Å, 90.00 90.00 90.00°
Site moments in Bohr magnetons follow the coordinates.
Atoms (fractional coordinates):
B (0.500, 0.500, 0.000)  -0.01
B (0.500, 0.000, 0.500)  -0.02
B (0.000, 0.500, 0.500)  -0.02
B (0.500, 0.500, 0.500)  -0.01
Fe (0.268, 0.268, 0.268)  0.15
Fe (0.732, 0.268, 0.268)  0.16
Fe (0.268, 0.732, 0.268)  0.16
Fe (0.732, 0.732, 0.268)  0.16
Fe (0.268, 0.268, 0.732)  0.16
Fe (0.732, 0.268, 0.732)  0.16
Fe (0.268, 0.732, 0.732)  0.16
Fe (0.732, 0.732, 0.732)  0.15
Ge (0.000, 0.000, 0.000)  -0.01
Ge (0.500, 0.000, 0.000)  -0.01
Ge (0.000, 0.500, 0.000)  -0.01
Ge (0.000, 0.000, 0.500)  -0.01


Record 4
The following is a DFT calculation (GGA-PBE) of FeGeB after structural relaxation.

Values from the calculation:
- Magnetization: 0.11 μB per formula unit
- ΔE to the lowest computed polymorph: 0 meV/atom
- Space group: F-43m

Cell: 3.589 3.589 3.589 Å, 60.00 60.00 60.00°
Atoms (fractional coordinates):
B (0.000, 0.000, 0.000)
Fe (0.250, 0.250, 0.250)
Ge (0.750, 0.750, 0.750)


Record 5
The following is a DFT calculation (GGA-PBE) of HoFe2GeB after structural relaxation.

Values from the calculation:
- Magnetization: 2.13 μB per formula unit
- Raw total energy: -6.911 eV per atom
- Space group: I4mm

Cell: 5.637 5.637 5.637 Å, 141.48 141.48 55.61°
Site moments in Bohr magnetons follow the coordinates.
Atoms (fractional coordinates):
B (0.639, 0.639, 0.000)  -0.08
Fe (0.734, 0.234, 0.500)  1.15
Fe (0.234, 0.734, 0.500)  1.15
Ge (0.381, 0.381, 0.000)  -0.05
Ho (0.013, 0.013, 0.000)  -0.03


Record 6
The following is a DFT calculation (GGA-PBE) of Ho2Fe14BH4 after structural relaxation.

Values from the calculation:
- Magnetization: 29.47 μB per formula unit
- Raw total energy: -7.019 eV per atom
- Space group: P4_2/mnm

Cell: 8.813 8.813 12.020 Å, 90.00 90.00 90.00°
Site moments in Bohr magnetons follow the coordinates.
Atoms (fractional coordinates):
B (0.623, 0.377, 0.000)  -0.17
B (0.377, 0.623, 0.000)  -0.17
B (0.123, 0.123, 0.500)  -0.16
B (0.877, 0.877, 0.500)  -0.16
Fe (0.500, 0.000, 0.000)  2.50
Fe (0.000, 0.500, 0.000)  2.50
Fe (0.500, 0.500, 0.114)  1.92
Fe (0.564, 0.226, 0.126)  2.09
Fe (0.774, 0.436, 0.126)  2.10
Fe (0.226, 0.564, 0.126)  2.10
Fe (0.436, 0.774, 0.126)  2.08
Fe (0.363, 0.046, 0.175)  2.06
Fe (0.046, 0.363, 0.175)  2.07
Fe (0.954, 0.637, 0.175)  2.07
Fe (0.637, 0.954, 0.175)  2.07
Fe (0.101, 0.101, 0.203)  2.44
Fe (0.899, 0.899, 0.203)  2.44
Fe (0.325, 0.325, 0.238)  2.35
Fe (0.675, 0.675, 0.238)  2.36
Fe (0.825, 0.175, 0.262)  2.35
Fe (0.175, 0.825, 0.262)  2.35
Fe (0.601, 0.399, 0.297)  2.45
Fe (0.399, 0.601, 0.297)  2.45
Fe (0.546, 0.137, 0.325)  2.07
Fe (0.863, 0.454, 0.325)  2.07
Fe (0.137, 0.546, 0.325)  2.07
Fe (0.454, 0.863, 0.325)  2.08
Fe (0.274, 0.064, 0.374)  2.11
Fe (0.064, 0.274, 0.374)  2.10
Fe (0.936, 0.726, 0.374)  2.10
Fe (0.726, 0.936, 0.374)  2.12
Fe (0.000, 0.000, 0.386)  1.92
Fe (0.500, 0.000, 0.500)  2.49
Fe (0.000, 0.500, 0.500)  2.48
Fe (0.000, 0.000, 0.614)  1.92
Fe (0.274, 0.064, 0.626)  2.12
Fe (0.064, 0.274, 0.626)  2.10
Fe (0.936, 0.726, 0.626)  2.10
Fe (0.726, 0.936, 0.626)  2.11
Fe (0.546, 0.137, 0.675)  2.08
Fe (0.863, 0.454, 0.675)  2.07
Fe (0.137, 0.546, 0.675)  2.07
Fe (0.454, 0.863, 0.675)  2.07
Fe (0.601, 0.399, 0.703)  2.45
Fe (0.399, 0.601, 0.703)  2.45
Fe (0.825, 0.175, 0.738)  2.35
Fe (0.175, 0.825, 0.738)  2.35
Fe (0.325, 0.325, 0.762)  2.36
Fe (0.675, 0.675, 0.762)  2.35
Fe (0.101, 0.101, 0.797)  2.44
Fe (0.899, 0.899, 0.797)  2.44
Fe (0.363, 0.046, 0.825)  2.07
Fe (0.046, 0.363, 0.825)  2.07
Fe (0.954, 0.637, 0.825)  2.07
Fe (0.637, 0.954, 0.825)  2.06
Fe (0.564, 0.226, 0.874)  2.08
Fe (0.774, 0.436, 0.874)  2.10
Fe (0.226, 0.564, 0.874)  2.10
Fe (0.436, 0.774, 0.874)  2.09
Fe (0.500, 0.500, 0.886)  1.92
H (0.722, 0.115, 0.147)  -0.02
H (0.885, 0.278, 0.147)  -0.02
H (0.115, 0.722, 0.147)  -0.02
H (0.278, 0.885, 0.147)  -0.02
H (0.385, 0.222, 0.353)  -0.02
H (0.222, 0.385, 0.353)  -0.02
H (0.778, 0.615, 0.353)  -0.02
H (0.615, 0.778, 0.353)  -0.02
H (0.385, 0.222, 0.647)  -0.02
H (0.222, 0.385, 0.647)  -0.02
H (0.778, 0.615, 0.647)  -0.02
H (0.615, 0.778, 0.647)  -0.02
H (0.722, 0.115, 0.853)  -0.02
H (0.885, 0.278, 0.853)  -0.02
H (0.115, 0.722, 0.853)  -0.02
H (0.278, 0.885, 0.853)  -0.02
Ho (0.860, 0.140, 0.000)  -0.36
Ho (0.271, 0.271, 0.000)  -0.43
Ho (0.729, 0.729, 0.000)  -0.43
Ho (0.140, 0.860, 0.000)  -0.36
Ho (0.771, 0.229, 0.500)  -0.42
Ho (0.360, 0.360, 0.500)  -0.36
Ho (0.640, 0.640, 0.500)  -0.36
Ho (0.229, 0.771, 0.500)  -0.42


Record 7
The following is a DFT calculation (GGA-PBE) of Pr2Fe14BH4 after structural relaxation.

Values from the calculation:
- Magnetization: 30.09 μB per formula unit
- Raw total energy: -6.985 eV per atom
- Space group: P4_2/mnm

Cell: 8.871 8.871 12.388 Å, 90.00 90.00 90.00°
Site moments in Bohr magnetons follow the coordinates.
Atoms (fractional coordinates):
B (0.622, 0.378, 0.000)  -0.17
B (0.378, 0.622, 0.000)  -0.17
B (0.122, 0.122, 0.500)  -0.17
B (0.878, 0.878, 0.500)  -0.17
Fe (0.500, 0.000, 0.000)  2.58
Fe (0.000, 0.500, 0.000)  2.61
Fe (0.500, 0.500, 0.113)  1.96
Fe (0.563, 0.228, 0.128)  2.15
Fe (0.772, 0.437, 0.128)  2.15
Fe (0.228, 0.563, 0.128)  2.15
Fe (0.437, 0.772, 0.128)  2.15
Fe (0.365, 0.045, 0.176)  2.12
Fe (0.045, 0.365, 0.176)  2.14
Fe (0.955, 0.635, 0.176)  2.14
Fe (0.635, 0.955, 0.176)  2.13
Fe (0.101, 0.101, 0.209)  2.50
Fe (0.899, 0.899, 0.209)  2.50
Fe (0.327, 0.327, 0.238)  2.38
Fe (0.673, 0.673, 0.238)  2.39
Fe (0.827, 0.173, 0.262)  2.37
Fe (0.173, 0.827, 0.262)  2.38
Fe (0.601, 0.399, 0.291)  2.50
Fe (0.399, 0.601, 0.291)  2.50
Fe (0.545, 0.135, 0.324)  2.13
Fe (0.865, 0.455, 0.324)  2.14
Fe (0.135, 0.545, 0.324)  2.13
Fe (0.455, 0.865, 0.324)  2.14
Fe (0.272, 0.063, 0.372)  2.17
Fe (0.063, 0.272, 0.372)  2.16
Fe (0.937, 0.728, 0.372)  2.17
Fe (0.728, 0.937, 0.372)  2.17
Fe (0.000, 0.000, 0.387)  1.95
Fe (0.500, 0.000, 0.500)  2.60
Fe (0.000, 0.500, 0.500)  2.58
Fe (0.000, 0.000, 0.613)  1.95
Fe (0.272, 0.063, 0.628)  2.17
Fe (0.063, 0.272, 0.628)  2.17
Fe (0.937, 0.728, 0.628)  2.16
Fe (0.728, 0.937, 0.628)  2.17
Fe (0.545, 0.135, 0.676)  2.14
Fe (0.865, 0.455, 0.676)  2.13
Fe (0.135, 0.545, 0.676)  2.14
Fe (0.455, 0.865, 0.676)  2.13
Fe (0.601, 0.399, 0.709)  2.50
Fe (0.399, 0.601, 0.709)  2.50
Fe (0.827, 0.173, 0.738)  2.38
Fe (0.173, 0.827, 0.738)  2.37
Fe (0.327, 0.327, 0.762)  2.39
Fe (0.673, 0.673, 0.762)  2.38
Fe (0.101, 0.101, 0.791)  2.50
Fe (0.899, 0.899, 0.791)  2.50
Fe (0.365, 0.045, 0.824)  2.13
Fe (0.045, 0.365, 0.824)  2.14
Fe (0.955, 0.635, 0.824)  2.14
Fe (0.635, 0.955, 0.824)  2.12
Fe (0.563, 0.228, 0.872)  2.15
Fe (0.772, 0.437, 0.872)  2.15
Fe (0.228, 0.563, 0.872)  2.15
Fe (0.437, 0.772, 0.872)  2.15
Fe (0.500, 0.500, 0.887)  1.96
H (0.718, 0.117, 0.153)  -0.02
H (0.883, 0.282, 0.153)  -0.02
H (0.117, 0.718, 0.153)  -0.02
H (0.282, 0.883, 0.153)  -0.02
H (0.383, 0.218, 0.347)  -0.02
H (0.218, 0.383, 0.347)  -0.02
H (0.782, 0.617, 0.347)  -0.02
H (0.617, 0.782, 0.347)  -0.02
H (0.383, 0.218, 0.653)  -0.02
H (0.218, 0.383, 0.653)  -0.02
H (0.782, 0.617, 0.653)  -0.02
H (0.617, 0.782, 0.653)  -0.02
H (0.718, 0.117, 0.847)  -0.02
H (0.883, 0.282, 0.847)  -0.02
H (0.117, 0.718, 0.847)  -0.02
H (0.282, 0.883, 0.847)  -0.02
Pr (0.859, 0.141, 0.000)  -0.24
Pr (0.270, 0.270, 0.000)  -0.27
Pr (0.730, 0.730, 0.000)  -0.27
Pr (0.141, 0.859, 0.000)  -0.24
Pr (0.770, 0.230, 0.500)  -0.26
Pr (0.359, 0.359, 0.500)  -0.24
Pr (0.641, 0.641, 0.500)  -0.24
Pr (0.230, 0.770, 0.500)  -0.26


Record 8
The following is a DFT calculation (GGA-PBE) of Sm2Fe14BH4 after structural relaxation.

Values from the calculation:
- Magnetization: 30.65 μB per formula unit
- Raw total energy: -7.033 eV per atom
- Space group: P4_2/mnm

Cell: 8.866 8.866 12.285 Å, 90.00 90.00 90.00°
Site moments in Bohr magnetons follow the coordinates.
Atoms (fractional coordinates):
B (0.624, 0.376, 0.000)  -0.17
B (0.376, 0.624, 0.000)  -0.17
B (0.124, 0.124, 0.500)  -0.16
B (0.876, 0.876, 0.500)  -0.16
Fe (0.500, 0.000, 0.000)  2.50
Fe (0.000, 0.500, 0.000)  2.49
Fe (0.500, 0.500, 0.111)  2.03
Fe (0.562, 0.225, 0.124)  2.26
Fe (0.775, 0.438, 0.124)  2.26
Fe (0.225, 0.562, 0.124)  2.26
Fe (0.438, 0.775, 0.124)  2.25
Fe (0.366, 0.039, 0.177)  2.21
Fe (0.039, 0.366, 0.177)  2.19
Fe (0.961, 0.634, 0.177)  2.20
Fe (0.634, 0.961, 0.177)  2.22
Fe (0.104, 0.104, 0.217)  2.09
Fe (0.896, 0.896, 0.217)  2.09
Fe (0.316, 0.316, 0.243)  2.67
Fe (0.684, 0.684, 0.243)  2.67
Fe (0.816, 0.184, 0.257)  2.66
Fe (0.184, 0.816, 0.257)  2.66
Fe (0.604, 0.396, 0.283)  2.10
Fe (0.396, 0.604, 0.283)  2.10
Fe (0.539, 0.134, 0.323)  2.21
Fe (0.866, 0.461, 0.323)  2.21
Fe (0.134, 0.539, 0.323)  2.21
Fe (0.461, 0.866, 0.323)  2.21
Fe (0.275, 0.062, 0.376)  2.28
Fe (0.062, 0.275, 0.376)  2.27
Fe (0.938, 0.725, 0.376)  2.27
Fe (0.725, 0.938, 0.376)  2.27
Fe (0.000, 0.000, 0.389)  2.02
Fe (0.500, 0.000, 0.500)  2.49
Fe (0.000, 0.500, 0.500)  2.50
Fe (0.000, 0.000, 0.611)  2.02
Fe (0.275, 0.062, 0.624)  2.27
Fe (0.062, 0.275, 0.624)  2.27
Fe (0.938, 0.725, 0.624)  2.27
Fe (0.725, 0.938, 0.624)  2.28
Fe (0.539, 0.134, 0.677)  2.21
Fe (0.866, 0.461, 0.677)  2.21
Fe (0.134, 0.539, 0.677)  2.21
Fe (0.461, 0.866, 0.677)  2.21
Fe (0.604, 0.396, 0.717)  2.10
Fe (0.396, 0.604, 0.717)  2.10
Fe (0.816, 0.184, 0.743)  2.66
Fe (0.184, 0.816, 0.743)  2.66
Fe (0.316, 0.316, 0.757)  2.67
Fe (0.684, 0.684, 0.757)  2.67
Fe (0.104, 0.104, 0.783)  2.09
Fe (0.896, 0.896, 0.783)  2.09
Fe (0.366, 0.039, 0.823)  2.22
Fe (0.039, 0.366, 0.823)  2.20
Fe (0.961, 0.634, 0.823)  2.19
Fe (0.634, 0.961, 0.823)  2.21
Fe (0.562, 0.225, 0.876)  2.26
Fe (0.775, 0.438, 0.876)  2.26
Fe (0.225, 0.562, 0.876)  2.26
Fe (0.438, 0.775, 0.876)  2.26
Fe (0.500, 0.500, 0.889)  2.03
H (0.804, 0.030, 0.153)  -0.02
H (0.970, 0.196, 0.153)  -0.02
H (0.030, 0.804, 0.153)  -0.02
H (0.196, 0.970, 0.153)  -0.02
H (0.470, 0.304, 0.347)  -0.02
H (0.304, 0.470, 0.347)  -0.02
H (0.696, 0.530, 0.347)  -0.02
H (0.530, 0.696, 0.347)  -0.02
H (0.470, 0.304, 0.653)  -0.02
H (0.304, 0.470, 0.653)  -0.02
H (0.696, 0.530, 0.653)  -0.02
H (0.530, 0.696, 0.653)  -0.02
H (0.804, 0.030, 0.847)  -0.02
H (0.970, 0.196, 0.847)  -0.02
H (0.030, 0.804, 0.847)  -0.02
H (0.196, 0.970, 0.847)  -0.02
Sm (0.846, 0.154, 0.000)  -0.22
Sm (0.266, 0.266, 0.000)  -0.28
Sm (0.734, 0.734, 0.000)  -0.28
Sm (0.154, 0.846, 0.000)  -0.22
Sm (0.766, 0.234, 0.500)  -0.28
Sm (0.346, 0.346, 0.500)  -0.22
Sm (0.654, 0.654, 0.500)  -0.22
Sm (0.234, 0.766, 0.500)  -0.28